Entry 1:
The following is a PBE-GGA calculation of a geometry-optimized La2CuRh structure, from the Alexandria database.

extended XYZ file:
```
4
Lattice="3.5885 -3.5999 0.0000 3.5885 3.5999 0.0000 -0.0140 0.0000 3.6731" Properties=species:S:1:pos:R:3 pbc="T T T"
La 1.7943 1.7999 0.0000
La 1.7943 -1.7999 0.0000
Cu -0.0070 0.0000 1.8366
Rh 3.5815 0.0000 1.8366
```

Summary:
total DFT energy (no corrections)	-22.98	eV for the cell shown
SG	C2/m


Entry 2:
The following is a PBE-GGA calculation of a geometry-optimized LaCu2Rh structure, from the Alexandria database.

extended XYZ file:
```
4
Lattice="-1.9891 1.9950 4.4335 1.9891 -1.9950 4.4335 1.9891 1.9950 -4.4335" Properties=species:S:1:pos:R:3 pbc="T T T"
La 0.0000 0.0000 0.0000
Cu 1.9891 0.0000 2.2192
Cu 0.0000 1.9950 2.2142
Rh 0.0000 0.0000 4.4335
```

Summary:
total DFT energy (no corrections)	-21.51	eV for the cell shown
SG	Immm